A plane-wave DFT calculation with PBE was carried out for a relaxed Li2HgPbCl6 crystal.

Properties
Crystal system ... trigonal
Electronic total energy ... -0.22803 Ry per atom
D(E_F) ... 0.000 states/eV/cell
Calculated density ... 4.30 g cm⁻³

Lattice parameters (Å, degrees): 6.8016 6.8016 18.3641 90.00 90.00 120.00
Space group R3 (No. 146, hexagonal axes)
Inequivalent atoms, fractional coordinates:
Li  0.0000  0.0000  0.0000
Li  0.0000  0.0000  0.4936
Hg  0.0000  0.0000  0.1996
Pb  0.0000  0.0000  0.7001
Cl  0.0052  0.3613  0.2570
Cl  0.0123  0.6162  0.7602